Record 1
A plane-wave DFT calculation with PBE was carried out for crystalline RbLiZn2Pd at its relaxed geometry.

Cell lengths 5.0229, 5.0229, 5.0190 Å; angles 90.00, 90.00, 90.00 degrees
Space group P4/mmm (No. 123)
Unique sites:
Rb  0.0000  0.0000  0.0000 (multiplicity 1)
Li  0.5000  0.5000  0.0000 (multiplicity 1)
Zn  0.0000  0.5000  0.5000 (multiplicity 2)
Pd  0.5000  0.5000  0.5000 (multiplicity 1)

Values from the calculation:
* mass density: 4.32 g cm⁻³
* formation enthalpy at 0 K: -0.1310 eV/atom

Record 2
A plane-wave DFT calculation with PBE was carried out for crystalline RbLiZnPd2 at its relaxed geometry.

Cell lengths 5.4250, 5.4250, 5.9874 Å; angles 90.00, 90.00, 90.00 degrees
Space group P4/mmm (No. 123)
Unique sites:
Rb  0.0000  0.0000  0.0000 (multiplicity 1)
Li  0.5000  0.5000  0.5000 (multiplicity 1)
Zn  0.0000  0.0000  0.5000 (multiplicity 1)
Pd  0.0000  0.5000  0.0000 (multiplicity 2)

Values from the calculation:
* mass density: 3.49 g cm⁻³
* formation enthalpy at 0 K: 1.1049 eV/atom

Record 3
A plane-wave DFT calculation with PBE was carried out for crystalline Li2RePd2 at its relaxed geometry.

Cell lengths 7.1933, 7.1933, 2.6619 Å; angles 90.00, 90.00, 90.00 degrees
Space group P4/mbm (No. 127)
Unique sites:
Li  0.1464  0.3536  0.0000 (multiplicity 4)
Re  0.0000  0.0000  0.5000 (multiplicity 2)
Pd  0.1532  0.6532  0.5000 (multiplicity 4)

Values from the calculation:
* mass density: 9.96 g cm⁻³
* formation enthalpy at 0 K: 0.1151 eV/atom
* distance to the lowest polymorph of the same formula: 0.1135 eV/atom

Record 4
A plane-wave DFT calculation with PBE was carried out for crystalline LiRePd at its relaxed geometry.

Cell lengths 8.1556, 3.7975, 5.6656 Å; angles 90.00, 105.27, 90.00 degrees
Space group C2/m (No. 12)
Unique sites:
Li  0.0070  0.0000  0.2705 (multiplicity 4)
Re  0.1753  0.5000  0.0779 (multiplicity 4)
Pd  0.1708  0.5000  0.5931 (multiplicity 4)

Values from the calculation:
* mass density: 11.75 g cm⁻³
* formation enthalpy at 0 K: 0.0330 eV/atom
* distance to the lowest polymorph of the same formula: 0.1190 eV/atom

Record 5
A plane-wave DFT calculation with PBE was carried out for crystalline LiRePd at its relaxed geometry.

Cell lengths 2.6835, 4.1367, 7.7609 Å; angles 90.00, 90.26, 90.00 degrees
Space group Pm (No. 6)
Unique sites:
Li  0.0000  0.0000  0.0000 (multiplicity 1)
Li  0.4626  0.0000  0.3166 (multiplicity 1)
Re  0.1963  0.5000  0.4994 (multiplicity 1)
Re  0.8700  0.0000  0.6481 (multiplicity 1)
Pd  0.3639  0.5000  0.8500 (multiplicity 1)
Pd  0.7727  0.5000  0.1853 (multiplicity 1)

Values from the calculation:
* mass density: 11.55 g cm⁻³
* formation enthalpy at 0 K: -0.0751 eV/atom
* distance to the lowest polymorph of the same formula: 0.0109 eV/atom

Record 6
A plane-wave DFT calculation with PBE was carried out for crystalline LiRePd at its relaxed geometry.

Cell lengths 4.4663, 4.4663, 9.6150 Å; angles 90.00, 90.00, 120.00 degrees
Space group P6_3/mmc (No. 194)
Unique sites:
Li  0.3333  0.6667  0.2500 (multiplicity 2)
Re  0.0000  0.0000  0.2500 (multiplicity 2)
Pd  0.0000  0.0000  0.0000 (multiplicity 2)

Values from the calculation:
* mass density: 5.99 g cm⁻³
* formation enthalpy at 0 K: 2.2149 eV/atom
* distance to the lowest polymorph of the same formula: 2.3010 eV/atom

Record 7
A plane-wave DFT calculation with PBE was carried out for crystalline LiRe3Pd at its relaxed geometry.

Cell lengths 4.1280, 4.1280, 4.1280 Å; angles 90.00, 90.00, 90.00 degrees
Space group Pm-3m (No. 221)
Unique sites:
Li  0.0000  0.0000  0.0000 (multiplicity 1)
Re  0.0000  0.0000  0.5000 (multiplicity 3)
Pd  0.5000  0.5000  0.5000 (multiplicity 1)

Values from the calculation:
* mass density: 15.86 g cm⁻³
* formation enthalpy at 0 K: 1.2840 eV/atom
* distance to the lowest polymorph of the same formula: 0.0000 eV/atom

Record 8
A plane-wave DFT calculation with PBE was carried out for crystalline LiRe2Pd at its relaxed geometry.

Cell lengths 6.0986, 6.0986, 6.0986 Å; angles 90.00, 90.00, 90.00 degrees
Space group Fm-3m (No. 225)
Unique sites:
Li  0.0000  0.0000  0.0000 (multiplicity 4)
Re  0.2500  0.2500  0.2500 (multiplicity 8)
Pd  0.0000  0.0000  0.5000 (multiplicity 4)

Values from the calculation:
* mass density: 14.22 g cm⁻³
* formation enthalpy at 0 K: 0.7627 eV/atom
* distance to the lowest polymorph of the same formula: 0.2422 eV/atom

Record 9
A plane-wave DFT calculation with PBE was carried out for crystalline LiRePd at its relaxed geometry.

Cell lengths 5.8238, 5.8238, 5.8238 Å; angles 90.00, 90.00, 90.00 degrees
Space group F-43m (No. 216)
Unique sites:
Li  0.0000  0.0000  0.0000 (multiplicity 4)
Re  0.0000  0.0000  0.5000 (multiplicity 4)
Pd  0.2500  0.2500  0.7500 (multiplicity 4)

Values from the calculation:
* mass density: 10.07 g cm⁻³
* formation enthalpy at 0 K: 0.7223 eV/atom
* distance to the lowest polymorph of the same formula: 0.8083 eV/atom

Record 10
A plane-wave DFT calculation with PBE was carried out for crystalline LiRePd at its relaxed geometry.

Cell lengths 2.7011, 4.3432, 7.7800 Å; angles 82.22, 88.06, 89.97 degrees
Space group P-1 (No. 2)
Unique sites:
Li  0.2420  0.1615  0.3030 (multiplicity 2)
Re  0.3110  0.7366  0.0574 (multiplicity 2)
Pd  0.2441  0.3557  0.6420 (multiplicity 2)

Values from the calculation:
* mass density: 11.01 g cm⁻³
* formation enthalpy at 0 K: -0.0857 eV/atom
* distance to the lowest polymorph of the same formula: 0.0003 eV/atom

Record 11
A plane-wave DFT calculation with PBE was carried out for crystalline LiRePd at its relaxed geometry.

Cell lengths 13.5928, 2.7206, 4.7111 Å; angles 90.00, 90.00, 90.00 degrees
Space group Amm2 (No. 38)
Unique sites:
Li  0.1578  0.0000  0.0000 (multiplicity 4)
Re  0.3307  0.0000  0.6652 (multiplicity 4)
Pd  0.0000  0.0000  0.6676 (multiplicity 2)
Pd  0.5000  0.0000  0.9983 (multiplicity 2)

Values from the calculation:
* mass density: 11.42 g cm⁻³
* formation enthalpy at 0 K: 0.0440 eV/atom
* distance to the lowest polymorph of the same formula: 0.1300 eV/atom

Record 12
A plane-wave DFT calculation with PBE was carried out for crystalline LiRePd at its relaxed geometry.

Cell lengths 4.4156, 4.4156, 5.3408 Å; angles 90.00, 90.00, 120.00 degrees
Space group P6_3/mmc (No. 194)
Unique sites:
Li  0.0000  0.0000  0.0000 (multiplicity 2)
Re  0.3333  0.6667  0.2500 (multiplicity 2)
Pd  0.3333  0.6667  0.7500 (multiplicity 2)

Values from the calculation:
* mass density: 11.03 g cm⁻³
* formation enthalpy at 0 K: 0.5897 eV/atom
* distance to the lowest polymorph of the same formula: 0.6757 eV/atom

Record 13
A plane-wave DFT calculation with PBE was carried out for crystalline LiRePd at its relaxed geometry.

Cell lengths 4.3181, 4.3181, 5.5488 Å; angles 90.00, 90.00, 120.00 degrees
Space group P6/mmm (No. 191)
Unique sites:
Li  0.3333  0.6667  0.0000 (multiplicity 2)
Re  0.3333  0.6667  0.5000 (multiplicity 2)
Pd  0.0000  0.0000  0.2510 (multiplicity 2)

Values from the calculation:
* mass density: 11.10 g cm⁻³
* formation enthalpy at 0 K: 0.0238 eV/atom
* distance to the lowest polymorph of the same formula: 0.1098 eV/atom

Record 14
A plane-wave DFT calculation with PBE was carried out for crystalline LiRePd at its relaxed geometry.

Cell lengths 8.7182, 2.7132, 7.9350 Å; angles 90.00, 90.00, 90.00 degrees
Space group Pnma (No. 62)
Unique sites:
Li  0.0830  0.2500  0.1844 (multiplicity 4)
Re  0.1108  0.2500  0.5560 (multiplicity 4)
Pd  0.1901  0.2500  0.8646 (multiplicity 4)

Values from the calculation:
* mass density: 10.60 g cm⁻³
* formation enthalpy at 0 K: 0.0665 eV/atom
* distance to the lowest polymorph of the same formula: 0.1525 eV/atom

Record 15
A plane-wave DFT calculation with PBE was carried out for crystalline LiRePd at its relaxed geometry.

Cell lengths 4.4833, 4.4833, 2.5701 Å; angles 90.00, 90.00, 120.00 degrees
Space group P-6m2 (No. 187)
Unique sites:
Li  0.0000  0.0000  0.0000 (multiplicity 1)
Re  0.3333  0.6667  0.5000 (multiplicity 1)
Pd  0.6667  0.3333  0.5000 (multiplicity 1)

Values from the calculation:
* mass density: 11.12 g cm⁻³
* formation enthalpy at 0 K: 0.3175 eV/atom
* distance to the lowest polymorph of the same formula: 0.4035 eV/atom

Record 16
A plane-wave DFT calculation with PBE was carried out for crystalline LiRePd at its relaxed geometry.

Cell lengths 2.6723, 4.2664, 7.5471 Å; angles 90.00, 93.20, 90.00 degrees
Space group P2_1/m (No. 11)
Unique sites:
Li  0.0357  0.2500  0.2280 (multiplicity 2)
Re  0.3369  0.7500  0.4282 (multiplicity 2)
Pd  0.3037  0.2500  0.8946 (multiplicity 2)

Values from the calculation:
* mass density: 11.58 g cm⁻³
* formation enthalpy at 0 K: -0.0809 eV/atom
* distance to the lowest polymorph of the same formula: 0.0051 eV/atom

Record 17
A plane-wave DFT calculation with PBE was carried out for crystalline LiRe2Pd at its relaxed geometry.

Cell lengths 3.5806, 3.5806, 19.3865 Å; angles 90.00, 90.00, 90.00 degrees
Space group I-42d (No. 122)
Unique sites:
Li  0.0000  0.0000  0.0000 (multiplicity 4)
Re  0.2310  0.2500  0.1250 (multiplicity 8)
Pd  0.0000  0.0000  0.5000 (multiplicity 4)

Values from the calculation:
* mass density: 12.98 g cm⁻³
* formation enthalpy at 0 K: 0.5205 eV/atom
* distance to the lowest polymorph of the same formula: 0.0000 eV/atom

Record 18
A plane-wave DFT calculation with PBE was carried out for crystalline LiRe3Pd at its relaxed geometry.

Cell lengths 4.7332, 4.7332, 4.7332 Å; angles 90.00, 90.00, 90.00 degrees
Space group Pm-3m (No. 221)
Unique sites:
Li  0.0000  0.0000  0.0000 (multiplicity 1)
Re  0.0000  0.5000  0.5000 (multiplicity 3)
Pd  0.5000  0.5000  0.5000 (multiplicity 1)

Values from the calculation:
* mass density: 10.52 g cm⁻³
* formation enthalpy at 0 K: 2.5439 eV/atom
* distance to the lowest polymorph of the same formula: 1.2599 eV/atom

Record 19
A plane-wave DFT calculation with PBE was carried out for crystalline LiRePd at its relaxed geometry.

Cell lengths 4.5450, 7.6871, 4.8488 Å; angles 90.00, 90.00, 90.00 degrees
Space group Amm2 (No. 38)
Unique sites:
Li  0.0000  0.0000  0.0000 (multiplicity 2)
Li  0.5000  0.0000  0.3087 (multiplicity 2)
Re  0.5000  0.1610  0.8043 (multiplicity 4)
Pd  0.0000  0.1731  0.4935 (multiplicity 4)

Values from the calculation:
* mass density: 11.75 g cm⁻³
* formation enthalpy at 0 K: 0.1084 eV/atom
* distance to the lowest polymorph of the same formula: 0.1944 eV/atom

Record 20
A plane-wave DFT calculation with PBE was carried out for crystalline Li3RePd at its relaxed geometry.

Cell lengths 4.2705, 4.2705, 4.2705 Å; angles 90.00, 90.00, 90.00 degrees
Space group Pm-3m (No. 221)
Unique sites:
Li  0.0000  0.0000  0.5000 (multiplicity 3)
Re  0.5000  0.5000  0.5000 (multiplicity 1)
Pd  0.0000  0.0000  0.0000 (multiplicity 1)

Values from the calculation:
* mass density: 6.68 g cm⁻³
* formation enthalpy at 0 K: 1.1210 eV/atom
* distance to the lowest polymorph of the same formula: 0.0000 eV/atom